The following is a DFT calculation (PBE with a Hubbard U) of a relaxed Ba2NiPdO4 crystal.

- V: 132 Å³/cell
- DFT total energy: -0.391 Ry per atom

Cell lengths 5.556, 5.556, 5.556 Å; angles 110.85, 110.85, 106.75 degrees
Sites, in units of the cell vectors:
Ba1 0.000 0.000 0.000
Ba2 0.750 0.250 0.500
Ni1 0.250 0.750 0.500
Pd1 0.500 0.500 0.000
O1 0.276 0.130 0.561
O2 0.285 0.724 0.854
O3 0.569 0.715 0.439
O4 0.870 0.431 0.146